[1]
## TbSm6Er3 (PBE)

Data for crystalline TbSm6Er3 at its relaxed geometry.

abc: 6.244 11.066 11.066
angles: 120.32 90.00 90.00
Atoms (fractional coordinates):
1 Tb 0.122 0.200 0.800
2 Tb 0.622 0.800 0.200
3 Sm 0.042 0.710 0.624
4 Sm 0.542 0.624 0.710
5 Sm 0.362 0.526 0.946
6 Sm 0.862 0.946 0.526
7 Sm 0.407 0.959 0.041
8 Sm 0.645 0.279 0.721
9 Sm 0.145 0.721 0.279
10 Sm 0.907 0.041 0.959
11 Sm 0.362 0.054 0.474
12 Sm 0.862 0.474 0.054
13 Sm 0.042 0.376 0.290
14 Sm 0.542 0.290 0.376
15 Er 0.463 0.944 0.719
16 Er 0.963 0.719 0.944
17 Er 0.076 0.386 0.614
18 Er 0.576 0.614 0.386
19 Er 0.963 0.056 0.281
20 Er 0.463 0.281 0.056

Space-group type: No. 36
Energy of formation in eV per atom: 0.147
N(E_F) in states/eV/cell: 27.3
Crystal system: orthorhombic
Distance to the lowest polymorph of the same formula in eV/atom: 0.019

[2]
## KReSCl2 (PBE)

Data for crystalline KReSCl2 at its relaxed geometry.

abc: 5.550 5.550 5.651
angles: 90.00 90.00 90.00
Last column: magnetic moment on the atom in μB.
Atoms (fractional coordinates):
1 Re 0.500 0.500 0.500  4.42
2 K 0.000 0.000 0.000  -0.02
3 S 0.000 0.000 0.500  -0.82
4 Cl 0.000 0.500 0.000  -0.05
5 Cl 0.500 0.000 0.000  -0.05

Space-group type: No. 123
Energy relative to the elements, uncorrected in eV per atom: 1.180
N(E_F) in states/eV/cell: 4.6
Crystal system: tetragonal
Distance to the lowest polymorph of the same formula in eV/atom: 1.737

[3]
## NaGa2Pd (PBE)

Data for crystalline NaGa2Pd at its relaxed geometry.

abc: 3.121 6.624 7.484
angles: 90.00 90.00 90.00
Atoms (fractional coordinates):
1 Na 0.250 0.750 0.011
2 Na 0.750 0.250 0.989
3 Ga 0.750 0.557 0.343
4 Ga 0.250 0.443 0.657
5 Ga 0.750 0.943 0.343
6 Ga 0.250 0.057 0.657
7 Pd 0.250 0.250 0.333
8 Pd 0.750 0.750 0.667

Space-group type: No. 59
Energy of formation in eV per atom: -0.342
N(E_F) in states/eV/cell: 3.9
Crystal system: orthorhombic

[4]
## Er3MgAu4 (PBE)

Data for crystalline Er3MgAu4 at its relaxed geometry.

abc: 4.969 7.020 9.941
angles: 90.00 90.00 90.00
Atoms (fractional coordinates):
1 Mg 0.000 0.500 0.000
2 Mg 0.000 0.500 0.500
3 Au 0.500 0.748 0.000
4 Au 0.500 0.748 0.500
5 Au 0.500 0.252 0.000
6 Au 0.500 0.252 0.500
7 Au 0.000 0.748 0.750
8 Au 0.000 0.748 0.250
9 Au 0.000 0.252 0.250
10 Au 0.000 0.252 0.750
11 Er 0.000 0.000 0.000
12 Er 0.000 0.000 0.500
13 Er 0.500 0.000 0.750
14 Er 0.500 0.000 0.250
15 Er 0.500 0.500 0.750
16 Er 0.500 0.500 0.250

Space-group type: No. 123
Energy of formation in eV per atom: -0.816
N(E_F) in states/eV/cell: 8.6
Crystal system: tetragonal

[5]
## KCd9Au2 (PBE)

Data for crystalline KCd9Au2 at its relaxed geometry.

abc: 3.885 9.384 9.384
angles: 120.00 90.00 90.00
Atoms (fractional coordinates):
1 K 0.000 0.000 0.000
2 Cd 0.500 0.808 0.192
3 Cd 0.000 0.000 0.500
4 Cd 0.000 0.500 0.500
5 Cd 0.500 0.808 0.616
6 Cd 0.500 0.192 0.808
7 Cd 0.500 0.616 0.808
8 Cd 0.500 0.192 0.384
9 Cd 0.000 0.500 0.000
10 Cd 0.500 0.384 0.192
11 Au 0.000 0.667 0.333
12 Au 0.000 0.333 0.667

Space-group type: No. 191
Energy of formation in eV per atom: -0.117
N(E_F) in states/eV/cell: 2.0
Crystal system: hexagonal
Distance to the lowest polymorph of the same formula in eV/atom: 0.039

[6]
## CeTmZr2 (PBE)

Data for crystalline CeTmZr2 at its relaxed geometry.

abc: 3.265 3.265 11.643
angles: 81.94 81.94 60.00
Atoms (fractional coordinates):
1 Tm 0.000 0.000 0.000
2 Zr 0.089 0.089 0.732
3 Zr 0.911 0.911 0.268
4 Ce 0.500 0.500 0.500

Space-group type: No. 166
Energy of formation in eV per atom: 0.303
N(E_F) in states/eV/cell: 8.8
Crystal system: trigonal
Distance to the lowest polymorph of the same formula in eV/atom: 0.203

[7]
## Sc5CdAg6 (PBE)

Data for crystalline Sc5CdAg6 at its relaxed geometry.

abc: 4.829 8.383 8.383
angles: 119.90 106.75 106.75
Atoms (fractional coordinates):
1 Sc 0.500 0.162 0.838
2 Sc 0.000 0.331 0.669
3 Sc 0.500 0.500 0.500
4 Sc 0.000 0.669 0.331
5 Sc 0.500 0.838 0.162
6 Ag 0.260 0.089 0.432
7 Ag 0.740 0.568 0.911
8 Ag 0.764 0.263 0.263
9 Ag 0.236 0.737 0.737
10 Ag 0.260 0.432 0.089
11 Ag 0.740 0.911 0.568
12 Cd 0.000 0.000 0.000

Space-group type: No. 12
Energy of formation in eV per atom: -0.249
N(E_F) in states/eV/cell: 8.6
Crystal system: monoclinic

[8]
## PrTm2Ga (PBE)

Data for crystalline PrTm2Ga at its relaxed geometry.

abc: 4.350 6.455 8.728
angles: 90.00 90.00 109.68
Atoms (fractional coordinates):
1 Pr 0.941 0.883 0.250
2 Pr 0.059 0.117 0.750
3 Tm 0.355 0.710 0.555
4 Tm 0.645 0.290 0.445
5 Tm 0.355 0.710 0.945
6 Tm 0.645 0.290 0.055
7 Ga 0.756 0.513 0.750
8 Ga 0.244 0.487 0.250

Space-group type: No. 63
Energy of formation in eV per atom: -0.251
N(E_F) in states/eV/cell: 9.6
Crystal system: orthorhombic
Distance to the lowest polymorph of the same formula in eV/atom: 0.040

[9]
## KNa8Sn4 (PBE)

Data for crystalline KNa8Sn4 at its relaxed geometry.

abc: 6.758 8.506 8.506
angles: 80.92 66.59 66.59
Atoms (fractional coordinates):
1 K 0.000 0.000 0.000
2 Na 0.000 0.328 0.672
3 Na 0.000 0.672 0.328
4 Na 0.328 0.672 0.672
5 Na 0.672 0.328 0.328
6 Na 0.500 0.772 0.228
7 Na 0.500 0.228 0.772
8 Na 0.272 0.228 0.228
9 Na 0.728 0.772 0.772
10 Sn 0.000 0.000 0.500
11 Sn 0.500 0.000 0.500
12 Sn 0.000 0.500 0.000
13 Sn 0.500 0.500 0.000

Space-group type: No. 139
Energy of formation in eV per atom: -0.129
N(E_F) in states/eV/cell: 10.6
Crystal system: tetragonal

[10]
## AlFeRh2 (PBE)

Data for crystalline AlFeRh2 at its relaxed geometry.

abc: 5.091 5.091 5.091
angles: 146.26 131.37 60.50
Last column: magnetic moment on the atom in μB.
Atoms (fractional coordinates):
1 Rh 0.009 0.009 0.000  0.42
2 Rh 0.738 0.238 0.500  0.60
3 Fe 0.254 0.754 0.500  2.86
4 Al 0.499 0.499 0.000  -0.02

Space-group type: No. 44
Energy of formation in eV per atom: -0.425
N(E_F) in states/eV/cell: 2.7
Crystal system: orthorhombic

[11]
## MnCoNi (PBE)

Data for crystalline MnCoNi at its relaxed geometry.

abc: 2.472 2.472 6.084
angles: 90.00 90.00 120.00
Last column: magnetic moment on the atom in μB.
Atoms (fractional coordinates):
1 Co 0.000 0.000 0.007  1.15
2 Mn 0.333 0.667 0.329  0.37
3 Ni 0.667 0.333 0.664  0.33

Space-group type: No. 156
Energy of formation in eV per atom: 0.083
N(E_F) in states/eV/cell: 4.1
Crystal system: trigonal
Distance to the lowest polymorph of the same formula in eV/atom: 0.039

[12]
## LaHo5Al6 (PBE)

Data for crystalline LaHo5Al6 at its relaxed geometry.

abc: 5.133 7.195 8.880
angles: 113.90 106.80 90.00
Atoms (fractional coordinates):
1 Al 0.829 0.569 0.657
2 Al 0.829 0.089 0.657
3 Al 0.500 0.729 0.000
4 Al 0.500 0.271 0.000
5 Al 0.171 0.911 0.343
6 Al 0.171 0.431 0.343
7 Ho 0.661 0.161 0.322
8 Ho 0.331 0.331 0.661
9 Ho 0.000 0.500 0.000
10 Ho 0.669 0.669 0.339
11 Ho 0.339 0.839 0.678
12 La 0.000 0.000 0.000

Space-group type: No. 71
Energy of formation in eV per atom: -0.385
N(E_F) in states/eV/cell: 3.6
Crystal system: orthorhombic

Look up the N(E_F) of the second one. 4.6 states/eV/cell

Which of these has the lowest N(E_F)? KCd9Au2

What did the ninth record say?
## KNa8Sn4 (PBE)

Data for crystalline KNa8Sn4 at its relaxed geometry.

abc: 6.758 8.506 8.506
angles: 80.92 66.59 66.59
Atoms (fractional coordinates):
1 K 0.000 0.000 0.000
2 Na 0.000 0.328 0.672
3 Na 0.000 0.672 0.328
4 Na 0.328 0.672 0.672
5 Na 0.672 0.328 0.328
6 Na 0.500 0.772 0.228
7 Na 0.500 0.228 0.772
8 Na 0.272 0.228 0.228
9 Na 0.728 0.772 0.772
10 Sn 0.000 0.000 0.500
11 Sn 0.500 0.000 0.500
12 Sn 0.000 0.500 0.000
13 Sn 0.500 0.500 0.000

Space-group type: No. 139
Energy of formation in eV per atom: -0.129
N(E_F) in states/eV/cell: 10.6
Crystal system: tetragonal

The lowest N(E_F) belongs to which entry? KCd9Au2